Record 1
K3GeSe3 after structural relaxation. Source: Alexandria via LeMat-Bulk, functional PBE.

a = 13.215 Å, b = 4.827 Å, c = 14.361 Å
α = 90.00°, β = 90.00°, γ = 90.00°
Space group Pnma (No. 62)
Asymmetric unit:
K  0.073  0.250  0.102 (multiplicity 4)
K  0.140  0.750  0.485 (multiplicity 4)
K  0.234  0.750  0.786 (multiplicity 4)
Ge  0.060  0.250  0.701 (multiplicity 4)
Se  0.015  0.250  0.333 (multiplicity 4)
Se  0.098  0.250  0.869 (multiplicity 4)
Se  0.225  0.250  0.623 (multiplicity 4)

Uncorrected formation energy: -0.9399 eV/atom

Record 2
Ca3AgO4 after structural relaxation. Source: Alexandria via LeMat-Bulk, functional PBE.

a = 6.898 Å, b = 9.315 Å, c = 3.490 Å
α = 90.00°, β = 90.00°, γ = 90.00°
Space group Cmmm (No. 65)
Asymmetric unit:
Ca  0.000  0.000  0.000 (multiplicity 2)
Ca  0.250  0.250  0.500 (multiplicity 4)
Ag  0.000  0.500  0.000 (multiplicity 2)
O  0.000  0.256  0.000 (multiplicity 4)
O  0.227  0.000  0.500 (multiplicity 4)

Uncorrected formation energy: -2.1917 eV/atom

Record 3
CsCO3 after structural relaxation. Source: Alexandria via LeMat-Bulk, functional PBE.

a = 3.845 Å, b = 3.845 Å, c = 3.845 Å
α = 90.00°, β = 90.00°, γ = 90.00°
Space group Pm-3m (No. 221)
Asymmetric unit:
Cs  0.000  0.000  0.000 (multiplicity 1)
C  0.500  0.500  0.500 (multiplicity 1)
O  0.000  0.500  0.500 (multiplicity 3)

Uncorrected formation energy: 1.0240 eV/atom

Record 4
KScAuS2 after structural relaxation. Source: Alexandria via LeMat-Bulk, functional PBE.

a = 7.212 Å, b = 5.077 Å, c = 7.044 Å
α = 90.00°, β = 101.58°, γ = 90.00°
Space group P2/c (No. 13)
Asymmetric unit:
K  0.000  0.164  0.250 (multiplicity 2)
Sc  0.500  0.494  0.750 (multiplicity 2)
Au  0.500  0.000  0.000 (multiplicity 2)
S  0.264  0.342  0.954 (multiplicity 4)

Uncorrected formation energy: -1.1185 eV/atom

Record 5
BaCePt2 after structural relaxation. Source: Alexandria via LeMat-Bulk, functional PBE.

a = 4.2707 Å, b = 4.2707 Å, c = 21.9148 Å
α = 90.00°, β = 90.00°, γ = 120.00°
Space group R-3m (No. 166, hexagonal axes)
Asymmetric unit:
Ba  0.0000  0.0000  0.0000 (multiplicity 3)
Ce  0.0000  0.0000  0.5000 (multiplicity 3)
Pt  0.0000  0.0000  0.2351 (multiplicity 6)

Offset from the most stable computed form: 0.0183 eV per atom

Record 6
Dy4TlZn after structural relaxation. Source: Alexandria via LeMat-Bulk, functional PBE.

a = 5.022 Å, b = 5.022 Å, c = 7.289 Å
α = 90.00°, β = 90.00°, γ = 90.00°
Space group P4/mmm (No. 123)
Asymmetric unit:
Dy  0.000  0.500  0.234 (multiplicity 4)
Tl  0.000  0.000  0.500 (multiplicity 1)
Zn  0.500  0.500  0.000 (multiplicity 1)

Offset from the most stable computed form: 0.2197 eV per atom

Record 7
PmZn11Os after structural relaxation. Source: Alexandria via LeMat-Bulk, functional PBE.

a = 5.153 Å, b = 12.926 Å, c = 6.747 Å
α = 90.00°, β = 111.56°, γ = 90.00°
Space group C2/m (No. 12)
Asymmetric unit:
Pm  0.000  0.000  0.000 (multiplicity 2)
Zn  0.000  0.500  0.500 (multiplicity 2)
Zn  0.115  0.389  0.220 (multiplicity 8)
Zn  0.158  0.174  0.358 (multiplicity 8)
Zn  0.250  0.250  0.000 (multiplicity 4)
Os  0.000  0.000  0.500 (multiplicity 2)

Energy: -63.6 eV for the cell shown

Record 8
YSi2Ir after structural relaxation. Source: Alexandria via LeMat-Bulk, functional PBE.

a = 2.967 Å, b = 5.341 Å, c = 9.170 Å
α = 90.00°, β = 90.00°, γ = 90.00°
Space group Immm (No. 71)
Asymmetric unit:
Y  0.000  0.000  0.000 (multiplicity 2)
Si  0.000  0.500  0.214 (multiplicity 4)
Ir  0.000  0.000  0.500 (multiplicity 2)

Uncorrected formation energy: -0.3660 eV/atom